# 1
# Ba3ScOs

A geometry-optimized Ba3ScOs structure (GGA-PBE, Alexandria).

Output
Theoretical density ... 4.9 g/cm³
Polymorph energy (0 for the lowest one) ... 0.0 meV/atom
SG ... No. 221
Energy of formation ... 3.63 eV per formula unit

Unit cell a=6.017 b=6.017 c=6.017 alpha=90.00 beta=90.00 gamma=90.00
Element x y z (fractional)
Sc: 0.500 0.500 0.500
Os: 0.000 0.000 0.000
Ba: 0.000 0.500 0.000
Ba: 0.000 0.000 0.500
Ba: 0.500 0.000 0.000

# 2
# Li2MgTl2Pd5

A geometry-optimized Li2MgTl2Pd5 structure (GGA-PBE, Alexandria).

Output
Theoretical density ... 9.9 g/cm³
SG ... No. 127
Energy of formation ... -3.65 eV per formula unit

Unit cell a=3.799 b=9.317 c=9.317 alpha=90.00 beta=90.00 gamma=90.00
Element x y z (fractional)
Li: 0.000 0.124 0.624
Li: 0.000 0.876 0.376
Li: 0.000 0.624 0.876
Li: 0.000 0.376 0.124
Mg: 0.000 0.000 0.000
Mg: 0.000 0.500 0.500
Tl: 0.000 0.672 0.172
Tl: 0.000 0.328 0.828
Tl: 0.000 0.172 0.328
Tl: 0.000 0.828 0.672
Pd: 0.500 0.200 0.078
Pd: 0.500 0.800 0.922
Pd: 0.500 0.078 0.800
Pd: 0.500 0.700 0.422
Pd: 0.500 0.922 0.200
Pd: 0.500 0.300 0.578
Pd: 0.500 0.578 0.700
Pd: 0.500 0.422 0.300
Pd: 0.500 0.500 0.000
Pd: 0.500 0.000 0.500

# 3
# ZnP2OF

A geometry-optimized ZnP2OF structure (GGA-PBE, Alexandria).

Output
Theoretical density ... 3.3 g/cm³
Formation energy (no corrections) ... 2.6 eV per formula unit
Polymorph energy (0 for the lowest one) ... 0.0 meV/atom
SG ... No. 123

Unit cell a=4.658 b=4.658 c=3.737 alpha=90.00 beta=90.00 gamma=90.00
Element x y z (fractional)
P: 0.000 0.500 0.000
P: 0.500 0.000 0.000
Zn: 0.000 0.000 0.000
O: 0.000 0.000 0.500
F: 0.500 0.500 0.500

# 4
# TcHSN2

A geometry-optimized TcHSN2 structure (GGA-PBE, Alexandria).

Output
Theoretical density ... 6.1 g/cm³
Polymorph energy (0 for the lowest one) ... 688.3 meV/atom
SG ... No. 123

Unit cell a=3.859 b=3.859 c=2.926 alpha=90.00 beta=90.00 gamma=90.00
Element x y z (fractional)
H: 0.000 0.000 0.000
S: 0.000 0.000 0.500
Tc: 0.500 0.500 0.500
N: 0.000 0.500 0.000
N: 0.500 0.000 0.000

# 5
# SrFe2W

A geometry-optimized SrFe2W structure (GGA-PBE, Alexandria).

Output
Theoretical density ... 8.8 g/cm³
Polymorph energy (0 for the lowest one) ... 379.9 meV/atom
SG ... No. 166
Energy of formation ... 3.55 eV per formula unit

Unit cell a=8.655 b=8.655 c=8.655 alpha=20.93 beta=20.93 gamma=20.93
Element x y z (fractional)
Fe: 0.017 0.017 0.017
Fe: 0.483 0.483 0.483
Sr: 0.250 0.250 0.250
W: 0.750 0.750 0.750

# 6
# Mg2ZrRh

A geometry-optimized Mg2ZrRh structure (GGA-PBE, Alexandria).

Output
Theoretical density ... 5.3 g/cm³
SG ... No. 12
Energy of formation ... -0.46 eV per formula unit

Unit cell a=5.717 b=5.717 c=2.947 alpha=79.84 beta=79.84 gamma=122.45
Element x y z (fractional)
Mg: 0.000 0.000 0.000
Mg: 0.500 0.500 0.000
Rh: 0.500 0.000 0.500
Zr: 0.000 0.500 0.500

Question: Which formula does entry 4 have?
Answer: TcHSN2